Record 1
Material: CeSi2OsRh
Method: DFT, PBE
State: optimized geometry

Values from the calculation:
Magnetic moment (μB per cell): 0.41
E_form (uncorrected) (eV per atom): -0.909
V (Å³/atom): 17.12

Unit cell a=4.158 b=4.158 c=5.757 alpha=111.17 beta=111.17 gamma=90.00
Last column: magnetic moment on the atom in μB.
Fractional coordinates of all 5 atoms:
Ce1 0.000 0.000 0.000  0.38
Si1 0.627 0.627 0.254  0.00
Si2 0.373 0.373 0.746  0.00
Os1 0.750 0.250 0.500  -0.02
Rh1 0.250 0.750 0.500  -0.01

***

Record 2
Material: BeRu
Method: DFT, PBE
State: optimized geometry

Values from the calculation:
Magnetic moment (μB per cell): 0.00
Energy of formation (eV per atom): 0.117
V (Å³/atom): 11.22

Unit cell a=5.226 b=5.226 c=5.226 alpha=36.36 beta=36.36 gamma=36.36
Fractional coordinates of all 4 atoms:
Ru1 0.097 0.097 0.097
Ru2 0.903 0.903 0.903
Be1 0.322 0.322 0.322
Be2 0.678 0.678 0.678

***

Q: Look up the magnetic moment of the first one.
A: 0.41 μB per cell

***

Q: Which of these has the lowest V?
A: BeRu